No. 1
Here is TcAg2W after structural relaxation from OQMD. Energies are from PBE. Values from VASP.

The structure in Quantum ESPRESSO input format:
```
&SYSTEM
  ibrav = 0, nat = 4, ntyp = 3
/
ATOMIC_SPECIES
Tc 98.00 Tc.upf
Ag 107.87 Ag.upf
W 183.84 W.upf
CELL_PARAMETERS angstrom
0.0000 3.1931 3.1931
3.1931 0.0000 3.1931
3.1931 3.1931 0.0000
ATOMIC_POSITIONS angstrom
Tc 0.0000 0.0000 0.0000
Ag 3.1931 3.1931 3.1931
Ag 4.7897 4.7897 4.7897
W 1.5966 1.5966 1.5966
```

The size of the total moment is 0.00 μB per atom. As for the space group: F-43m, No. 216. The calculation puts the formation energy from the elements at 0.70 eV per atom.

---

No. 2
Here is NdScSb after structural relaxation from OQMD. Energies are from PBE. Values from VASP.

The structure in Quantum ESPRESSO input format:
```
&SYSTEM
  ibrav = 0, nat = 6, ntyp = 3
/
ATOMIC_SPECIES
Nd 144.24 Nd.upf
Sc 44.96 Sc.upf
Sb 121.76 Sb.upf
CELL_PARAMETERS angstrom
-2.2239 2.2239 8.2673
2.2239 -2.2239 8.2673
2.2239 2.2239 -8.2673
ATOMIC_POSITIONS angstrom
Nd 0.0000 0.0000 2.9029
Nd 0.0000 0.0000 13.6316
Sc 2.2239 0.0000 0.0000
Sc 0.0000 2.2239 0.0000
Sb 0.0000 0.0000 6.1697
Sb 0.0000 0.0000 10.3649
```

The size of the total moment is 0.15 μB per atom. As for the space group: I4/mmm, No. 139.

---

No. 3
Here is Na3In2Ag after structural relaxation from OQMD. Energies are from PBE. Values from VASP.

The structure in Quantum ESPRESSO input format:
```
&SYSTEM
  ibrav = 0, nat = 24, ntyp = 3
/
ATOMIC_SPECIES
Na 22.99 Na.upf
In 114.82 In.upf
Ag 107.87 Ag.upf
CELL_PARAMETERS angstrom
0.0000 6.8290 6.8290
6.8290 0.0000 6.8290
6.8290 6.8290 0.0000
ATOMIC_POSITIONS angstrom
Na 5.1217 5.1217 1.0598
Na 5.1217 1.0598 5.1217
Na 9.1837 5.1217 5.1217
Na 8.5362 8.5362 4.4743
Na 8.5362 4.4743 8.5362
Na 12.5981 8.5362 8.5362
Na 1.0598 5.1217 5.1217
Na 5.1217 9.1837 5.1217
Na 5.1217 5.1217 9.1837
Na 4.4743 8.5362 8.5362
Na 8.5362 12.5981 8.5362
Na 8.5362 8.5362 12.5981
In 3.9820 3.9820 3.9820
In 6.2614 6.2614 3.9820
In 6.2614 3.9820 6.2614
In 9.6759 7.3965 7.3965
In 3.9820 6.2614 6.2614
In 7.3965 9.6759 7.3965
In 7.3965 7.3965 9.6759
In 9.6759 9.6759 9.6759
Ag 6.8290 3.4145 3.4145
Ag 3.4145 6.8290 3.4145
Ag 3.4145 3.4145 6.8290
Ag 6.8290 6.8290 6.8290
```

As for the space group: Fd-3m, No. 227.

---

No. 4
Here is AcLaPa after structural relaxation from OQMD. Energies are from PBE. Values from VASP.

The structure in Quantum ESPRESSO input format:
```
&SYSTEM
  ibrav = 0, nat = 3, ntyp = 3
/
ATOMIC_SPECIES
Ac 227.00 Ac.upf
La 138.91 La.upf
Pa 231.04 Pa.upf
CELL_PARAMETERS angstrom
0.0000 3.8993 3.8993
3.8993 0.0000 3.8993
3.8993 3.8993 0.0000
ATOMIC_POSITIONS angstrom
Ac 0.0000 0.0000 0.0000
La 3.8993 3.8993 3.8993
Pa 1.9496 1.9496 1.9496
```

The size of the total moment is 0.65 μB per atom. As for the space group: F-43m, No. 216. The calculation puts the formation energy from the elements at 1.05 eV per atom.

---

We obtain E_tot values of -26.18, -35.64, -52.39, -15.38 eV for the cell shown for the records listed above, in that order.